Entry 1:
A plane-wave DFT calculation with PBE was carried out for Ca2Dy2Cd3 after structural relaxation.

a b c (Å): 9.108 5.268 9.277
angles (deg): 90.00 109.07 90.00
Positions (direct):
Ca 0.127 0.000 0.382
Ca 0.373 0.500 0.618
Ca 0.627 0.500 0.382
Ca 0.873 0.000 0.618
Dy 0.124 0.500 0.871
Dy 0.376 0.000 0.129
Dy 0.624 0.000 0.871
Dy 0.876 0.500 0.129
Cd 0.000 0.000 0.000
Cd 0.245 0.500 0.234
Cd 0.255 0.000 0.766
Cd 0.500 0.500 0.000
Cd 0.745 0.000 0.234
Cd 0.755 0.500 0.766

## Properties
spin magnetization: 0.00 μB/cell
total energy: -2.496 eV per atom
crystal system: monoclinic
E_form: -0.22 eV per atom

Entry 2:
A plane-wave DFT calculation with PBE was carried out for Ca2DyCd3 after structural relaxation.

a b c (Å): 5.365 5.365 6.585
angles (deg): 90.00 90.00 120.00
Positions (direct):
Ca 0.333 0.667 0.166
Ca 0.667 0.333 0.834
Dy 0.000 0.000 0.500
Cd 0.000 0.000 0.000
Cd 0.333 0.667 0.658
Cd 0.667 0.333 0.342

## Properties
spin magnetization: 0.00 μB/cell
total energy: -2.242 eV per atom
crystal system: trigonal
ΔE to the lowest computed polymorph: 0 meV per atom
E_form: -0.35 eV per atom